Material: Li2Ga3Fe2
Method: DFT, GGA-PBE
State: optimized geometry

Structure (POSCAR):
```
Li2Ga3Fe2
1.0
4.024 0.000 0.534
0.000 2.608 0.000
0.796 0.000 9.433
Li Ga Fe
2 3 2
direct
0.574 0.500 0.851
0.426 0.500 0.149
0.160 0.000 0.680
0.000 0.000 0.000
0.840 0.000 0.320
0.714 0.500 0.573
0.286 0.500 0.427
```

Calculated values
For the total moment, the calculation gives 4.14 μB per cell. The energy of formation comes out at -0.152 eV per atom. Its final energy is -30.9 eV for the cell shown.